Material: MnGaPH
Method: DFT, GGA-PBE
State: optimized geometry

Lattice parameters (Å, degrees): 5.301 2.897 7.755 90.00 124.15 90.00
Fractional coordinates of all 8 atoms:
Mn (0.725, 0.000, 0.447)
Mn (0.725, 0.500, 0.947)
Ga (0.267, 0.000, 0.719)
Ga (0.267, 0.500, 0.219)
P (0.705, 0.000, 0.154)
P (0.705, 0.500, 0.654)
H (0.901, 0.000, 0.946)
H (0.901, 0.500, 0.446)

Results
- total magnetic moment (μB per atom) = 0.000
- SG = Cm, No. 8
- E_tot (Ha/atom) = -0.197
- E above lowest polymorph (meV per atom) = 7